1.
Below is ZrZnPd after structural relaxation, with properties calculated at the GGA-PBE level.

The volume is 17.26 Å³ per atom. The mass density comes out at 8438 kg/m³. For the formation energy, the calculation gives -130 kJ/mol of formula units.

The space group is P4/mmm (No. 123) and the conventional cell measures 3.165, 3.165 and 10.336 Å, with angles of 90.00, 90.00 and 90.00 degrees. The inequivalent atoms are Zr at (0.000, 0.000, 0.181), Zn at (0.500, 0.500, 0.363), Pd at (0.000, 0.000, 0.500) and Pd at (0.500, 0.500, 0.000).

=====

2.
Below is Zr2ZnPd after structural relaxation, with properties calculated at the GGA-PBE level.

The volume is 18.44 Å³ per atom. The mass density comes out at 7977 kg/m³. For the formation energy, the calculation gives -152 kJ/mol of formula units.

The space group is I4/mmm (No. 139) and the conventional cell measures 4.232, 4.232 and 8.236 Å, with angles of 90.00, 90.00 and 90.00 degrees. The inequivalent atoms are Zr at (0.000, 0.500, 0.250), Zn at (0.000, 0.000, 0.000) and Pd at (0.000, 0.000, 0.500).

=====

3.
Below is ZrZnPd2 after structural relaxation, with properties calculated at the GGA-PBE level.

The volume is 16.98 Å³ per atom. The mass density comes out at 9035 kg/m³. For the formation energy, the calculation gives -224 kJ/mol of formula units.

The space group is Pnma (No. 62) and the conventional cell measures 6.788, 7.299 and 5.482 Å, with angles of 90.00, 90.00 and 90.00 degrees. The inequivalent atoms are Zr at (0.032, 0.250, 0.149), Zn at (0.106, 0.750, 0.357) and Pd at (0.200, 0.049, 0.573).

=====

4.
Below is ZrZnPd after structural relaxation, with properties calculated at the GGA-PBE level.

The volume is 17.19 Å³ per atom. The mass density comes out at 8470 kg/m³. For the formation energy, the calculation gives -150 kJ/mol of formula units.

The space group is I4mm (No. 107) and the conventional cell measures 3.373, 3.373 and 9.066 Å, with angles of 90.00, 90.00 and 90.00 degrees. The inequivalent atoms are Zr at (0.000, 0.000, 0.000), Zn at (0.000, 0.000, 0.324) and Pd at (0.000, 0.000, 0.680).

=====

5.
Below is ZrZnPd after structural relaxation, with properties calculated at the GGA-PBE level.

The volume is 21.09 Å³ per atom. The mass density comes out at 6905 kg/m³. For the formation energy, the calculation gives 12 kJ/mol of formula units.

The space group is F-43m (No. 216) and the conventional cell measures 6.325, 6.325 and 6.325 Å, with angles of 90.00, 90.00 and 90.00 degrees. The inequivalent atoms are Zr at (0.000, 0.000, 0.000), Zn at (0.250, 0.250, 0.250) and Pd at (0.250, 0.250, 0.750).

=====

6.
Below is ZrZnPd2 after structural relaxation, with properties calculated at the GGA-PBE level.

The volume is 17.85 Å³ per atom. The mass density comes out at 8591 kg/m³. For the formation energy, the calculation gives -187 kJ/mol of formula units.

The space group is P6_3/mmc (No. 194) and the conventional cell measures 4.5539, 4.5539 and 7.9531 Å, with angles of 90.00, 90.00 and 120.00 degrees. The inequivalent atoms are Zr at (0.0000, 0.0000, 0.0000), Zn at (0.3333, 0.6667, 0.2500) and Pd at (0.3333, 0.6667, 0.5857).